{"formula": "TlWBr", "functional": "meta-GGA SCAN", "state": "single point on PBEsol structure", "crystal_system": "hexagonal", "rho_g_cm3": 13.29, "formation_energy_uncorrected_ev_per_atom": 1.1898, "polymorph_energy_ev_per_atom": 0.000, "e_tot_ev_per_atom": -52.65, "sg": "P-6m2 (187)", "magnetic_moment_mub_per_fu": 0.00, "lattice_angstrom": [[4.7114, 0.0000, 0.0000], [-2.3557, 4.0802, 0.0000], [0.0000, 0.0000, 3.0426]], "species": ["Tl", "W", "Br"], "fractional_positions": [[0.0000, 0.0000, 0.0000], [0.3333, 0.6667, 0.5000], [0.6667, 0.3333, 0.5000]]}

=====

{"formula": "NaTa2BeC", "functional": "meta-GGA SCAN", "state": "single point on PBEsol structure", "crystal_system": "tetragonal", "rho_g_cm3": 8.67, "e_tot_ev_per_atom": -28.27, "formation_energy_ev_per_atom": 2.097, "sg": "P4/mmm (123)", "magnetic_moment_mub_per_fu": 0.00, "lattice_angstrom": [[4.3137, 0.0000, 0.0000], [0.0000, 4.3137, 0.0000], [0.0000, 0.0000, 4.1785]], "species": ["Na", "Ta", "Ta", "Be", "C"], "fractional_positions": [[0.0000, 0.0000, 0.0000], [0.0000, 0.5000, 0.5000], [0.5000, 0.0000, 0.5000], [0.0000, 0.0000, 0.5000], [0.5000, 0.5000, 0.0000]]}

=====

{"formula": "SrFe2Ni", "functional": "meta-GGA SCAN", "state": "single point on PBEsol structure", "crystal_system": "cubic", "rho_g_cm3": 6.88, "e_tot_ev_per_atom": -17.90, "formation_energy_ev_per_atom": 0.778, "sg": "F-43m (216)", "magnetic_moment_mub_per_fu": 5.83, "lattice_angstrom": [[6.2928, 0.0000, 0.0000], [0.0000, 6.2928, 0.0000], [0.0000, 0.0000, 6.2928]], "species": ["Sr", "Sr", "Sr", "Sr", "Fe", "Fe", "Fe", "Fe", "Fe", "Fe", "Fe", "Fe", "Ni", "Ni", "Ni", "Ni"], "fractional_positions": [[0.0000, 0.0000, 0.0000], [0.0000, 0.5000, 0.5000], [0.5000, 0.0000, 0.5000], [0.5000, 0.5000, 0.0000], [0.0000, 0.0000, 0.5000], [0.0000, 0.5000, 0.0000], [0.2500, 0.2500, 0.2500], [0.2500, 0.7500, 0.7500], [0.5000, 0.0000, 0.0000], [0.5000, 0.5000, 0.5000], [0.7500, 0.2500, 0.7500], [0.7500, 0.7500, 0.2500], [0.2500, 0.2500, 0.7500], [0.2500, 0.7500, 0.2500], [0.7500, 0.2500, 0.2500], [0.7500, 0.7500, 0.7500]]}